Record 1
VASP calculation (PBE) on an optimized crystal structure of BaEr2PdSe4.

a b c (Å): 4.166 7.279 14.351
angles (deg): 90.00 90.00 106.63
Atoms (fractional coordinates):
Se 0.732 0.463 0.894
Pd 0.844 0.688 0.750
Se 0.732 0.463 0.606
Ba 0.879 0.758 0.250
Se 0.268 0.537 0.394
Pd 0.156 0.312 0.250
Se 0.000 0.000 0.500
Er 0.368 0.736 0.573
Er 0.632 0.264 0.073
Ba 0.121 0.242 0.750
Se 0.000 0.000 0.000
Se 0.268 0.537 0.106
Se 0.452 0.903 0.750
Se 0.548 0.097 0.250
Er 0.368 0.736 0.927
Er 0.632 0.264 0.427

Its crystal system is orthorhombic. Its space group is Cmcm, No. 63. The uncorrected formation energy comes out at -1.685 eV/atom.

Record 2
VASP calculation (PBE) on an optimized crystal structure of BaErPdSe3.

a b c (Å): 4.226 8.669 9.461
angles (deg): 105.98 90.00 90.00
Atoms (fractional coordinates):
Se 0.750 0.452 0.159
Er 0.750 0.319 0.843
Se 0.250 0.548 0.841
Se 0.250 0.775 0.471
Se 0.750 0.225 0.529
Ba 0.750 0.805 0.759
Se 0.250 0.109 0.873
Pd 0.250 0.093 0.578
Er 0.250 0.681 0.157
Ba 0.250 0.195 0.241
Pd 0.750 0.907 0.422
Se 0.750 0.891 0.127

Its crystal system is monoclinic. Its space group is P2_1/m, No. 11. The uncorrected formation energy comes out at -1.522 eV/atom.

Record 3
VASP calculation (PBE) on an optimized crystal structure of Ba2ErSn3Pd4.

a b c (Å): 4.738 4.738 11.353
angles (deg): 90.00 90.00 90.00
Atoms (fractional coordinates):
Er 0.500 0.500 0.500
Ba 0.500 0.000 0.235
Ba 0.000 0.500 0.765
Pd 0.000 0.500 0.361
Pd 0.000 0.000 0.000
Sn 0.000 0.500 0.117
Sn 0.500 0.000 0.883
Sn 0.000 0.000 0.500
Pd 0.500 0.000 0.639
Pd 0.500 0.500 0.000

Its crystal system is tetragonal. Its space group is P-4m2, No. 115. The value obtained for the formation energy is -0.759 eV/atom.

Record 4
VASP calculation (PBE) on an optimized crystal structure of BaPm2Er.

a b c (Å): 3.654 3.654 13.195
angles (deg): 82.04 82.04 60.00
Atoms (fractional coordinates):
Pm 0.094 0.094 0.718
Pm 0.906 0.906 0.282
Ba 0.000 0.000 0.000
Er 0.500 0.500 0.500

Its crystal system is trigonal. Its space group is R-3m, No. 166. The value obtained for the formation energy is 0.202 eV/atom. As for the energy relative to the lowest polymorph listed for this composition: 0.077 eV/atom.

Record 5
VASP calculation (PBE) on an optimized crystal structure of BaPmEr.

a b c (Å): 3.784 3.784 9.404
angles (deg): 90.00 90.00 120.00
Atoms (fractional coordinates):
Er 0.667 0.333 0.353
Ba 0.000 0.000 0.004
Pm 0.333 0.667 0.643

Its crystal system is trigonal. Its space group is P3m1, No. 156. The value obtained for the formation energy is 0.186 eV/atom. As for the energy relative to the lowest polymorph listed for this composition: 0.011 eV/atom.

Record 6
VASP calculation (PBE) on an optimized crystal structure of BaPmEr.

a b c (Å): 3.800 3.800 8.654
angles (deg): 102.68 102.68 90.00
Atoms (fractional coordinates):
Er 0.681 0.681 0.363
Ba 0.001 0.001 0.002
Pm 0.318 0.318 0.635

Its crystal system is tetragonal. Its space group is I4mm, No. 107. The value obtained for the formation energy is 0.175 eV/atom. As for the energy relative to the lowest polymorph listed for this composition: 0.000 eV/atom.

Record 7
VASP calculation (PBE) on an optimized crystal structure of BaPm2Er.

a b c (Å): 3.746 3.746 10.818
angles (deg): 90.00 90.00 90.00
Atoms (fractional coordinates):
Er 0.500 0.500 0.000
Pm 0.000 0.000 0.216
Ba 0.500 0.500 0.500
Pm 0.000 0.000 0.784

Its crystal system is tetragonal. Its space group is P4/mmm, No. 123. The value obtained for the formation energy is 0.125 eV/atom. As for the energy relative to the lowest polymorph listed for this composition: 0.000 eV/atom.

Record 8
VASP calculation (PBE) on an optimized crystal structure of Ba2PmErS4.

a b c (Å): 4.152 7.187 7.529
angles (deg): 108.56 90.00 90.00
Atoms (fractional coordinates):
S 0.000 0.746 0.213
Ba 0.000 0.500 0.500
S 0.500 0.229 0.209
Ba 0.500 0.000 0.500
Er 0.000 0.000 0.000
S 0.000 0.254 0.787
S 0.500 0.771 0.791
Pm 0.500 0.500 0.000

Its crystal system is monoclinic. Its space group is P2/m, No. 10. The uncorrected formation energy comes out at -2.005 eV/atom.

Record 9
VASP calculation (PBE) on an optimized crystal structure of BaPmEr4S8.

a b c (Å): 8.181 8.181 8.275
angles (deg): 60.37 60.37 60.00
Atoms (fractional coordinates):
S 0.757 0.757 0.728
Ba 0.373 0.373 0.881
Pm 0.002 0.002 0.994
S 0.803 0.238 0.722
S 0.752 0.752 0.265
S 0.238 0.238 0.722
S 0.232 0.752 0.265
S 0.231 0.231 0.307
Er 0.495 0.002 0.502
S 0.752 0.232 0.265
Er 0.002 0.495 0.502
Er 0.002 0.002 0.502
Er 0.625 0.625 0.124
S 0.238 0.803 0.722

Its crystal system is trigonal. Its space group is R3m, No. 160. The uncorrected formation energy comes out at -1.954 eV/atom.

Record 10
VASP calculation (PBE) on an optimized crystal structure of Ba2PmErSe4.

a b c (Å): 4.321 7.479 7.802
angles (deg): 108.66 90.00 90.00
Atoms (fractional coordinates):
Ba 0.500 0.000 0.500
Se 0.000 0.746 0.216
Se 0.500 0.230 0.212
Se 0.000 0.254 0.784
Ba 0.000 0.500 0.500
Se 0.500 0.770 0.788
Pm 0.500 0.500 0.000
Er 0.000 0.000 0.000

Its crystal system is monoclinic. Its space group is P2/m, No. 10. The uncorrected formation energy comes out at -1.880 eV/atom.

Record 11
VASP calculation (PBE) on an optimized crystal structure of Ba3Pm2ErTe6.

a b c (Å): 7.997 7.997 8.285
angles (deg): 99.28 99.28 119.90
Atoms (fractional coordinates):
Pm 0.665 0.335 0.000
Er 0.000 0.000 0.000
Te 0.749 0.749 0.221
Te 0.072 0.398 0.218
Te 0.928 0.602 0.782
Ba 0.500 0.500 0.500
Ba 0.170 0.830 0.500
Te 0.251 0.251 0.779
Te 0.398 0.072 0.218
Pm 0.335 0.665 0.000
Ba 0.830 0.170 0.500
Te 0.602 0.928 0.782

Its crystal system is monoclinic. Its space group is C2/m, No. 12. The uncorrected formation energy comes out at -1.544 eV/atom.

Record 12
VASP calculation (PBE) on an optimized crystal structure of Ba3Pm3ErTe8.

a b c (Å): 9.124 9.121 9.606
angles (deg): 118.31 90.00 120.01
Atoms (fractional coordinates):
Pm 0.500 0.500 0.500
Te 0.744 0.981 0.717
Te 0.256 0.019 0.283
Ba 0.000 0.000 0.000
Ba 0.500 0.500 0.000
Te 0.259 0.518 0.277
Te 0.763 0.019 0.283
Pm 0.000 0.500 0.500
Ba 0.000 0.500 0.000
Te 0.741 0.482 0.723
Er 0.000 0.000 0.500
Pm 0.500 0.000 0.500
Te 0.763 0.527 0.283
Te 0.237 0.473 0.717
Te 0.237 0.981 0.717

Its crystal system is trigonal. Its space group is R-3m, No. 166. The uncorrected formation energy comes out at -1.558 eV/atom.

Which formula does entry 9 have?
BaPmEr4S8